NbSn2HI (PBE, relaxed); magnetic moment = 2.88 μB per formula unit; E_tot = -2.890 eV/atom
1.0
6.017 0.000 0.000
0.000 6.017 0.000
0.000 0.000 5.212
Nb Sn H I
1 2 1 1
direct
0.000 0.000 0.000
0.000 0.500 0.500
0.500 0.000 0.500
0.500 0.500 0.000
0.000 0.000 0.500